No. 1
TaMnTlS2: optimized geometry, PBE.

Total DFT energy (no corrections) ... -4.62 eV/atom
Formation energy (no corrections) ... 1.712 eV per atom
Calculated volume ... 27.8 Å³ per atom

abc: 5.057 5.057 5.438
angles: 90.00 90.00 90.00
Atoms (fractional coordinates):
Ta: 0.000 0.000 0.000
Mn: 0.500 0.500 0.000
Tl: 0.000 0.000 0.500
S: 0.000 0.500 0.500
S: 0.500 0.000 0.500

---

No. 2
PuPb3: optimized geometry, PBE.

Total DFT energy (no corrections) ... -6.32 eV/atom
Formation energy from the elements ... 0.044 eV/atom
Calculated volume ... 30.7 Å³ per atom

abc: 5.577 5.577 5.577
angles: 60.00 60.00 60.00
Atoms (fractional coordinates):
Pu: 0.000 0.000 0.000
Pb: 0.250 0.250 0.250
Pb: 0.500 0.500 0.500
Pb: 0.750 0.750 0.750

---

No. 3
Sc4FeAg: optimized geometry, PBE.

Total DFT energy (no corrections) ... -6.27 eV/atom
Formation energy from the elements ... -0.166 eV/atom
Calculated volume ... 20.8 Å³ per atom

abc: 7.043 7.043 5.622
angles: 99.87 99.87 110.09
Atoms (fractional coordinates):
Sc: 0.066 0.730 0.953
Sc: 0.203 0.363 0.610
Sc: 0.270 0.934 0.547
Sc: 0.363 0.203 0.110
Sc: 0.637 0.797 0.890
Sc: 0.730 0.066 0.453
Sc: 0.797 0.637 0.390
Sc: 0.934 0.270 0.047
Fe: 0.001 0.999 0.750
Fe: 0.999 0.001 0.250
Ag: 0.373 0.627 0.250
Ag: 0.627 0.373 0.750

---

No. 4
Cd2InGaHg5: optimized geometry, PBE.

Total DFT energy (no corrections) ... -0.97 eV/atom
Formation energy from the elements ... 0.039 eV/atom
Calculated volume ... 25.4 Å³ per atom

abc: 8.721 8.721 12.873
angles: 90.00 90.00 152.19
Atoms (fractional coordinates):
Cd: 0.099 0.901 0.500
Cd: 0.106 0.894 0.832
Cd: 0.894 0.106 0.332
Cd: 0.901 0.099 0.000
In: 0.427 0.573 0.508
In: 0.573 0.427 0.008
Ga: 0.219 0.781 0.022
Ga: 0.781 0.219 0.522
Hg: 0.028 0.972 0.170
Hg: 0.242 0.758 0.365
Hg: 0.296 0.704 0.690
Hg: 0.360 0.640 0.163
Hg: 0.441 0.559 0.840
Hg: 0.559 0.441 0.340
Hg: 0.640 0.360 0.663
Hg: 0.704 0.296 0.190
Hg: 0.758 0.242 0.865
Hg: 0.972 0.028 0.670

---

Repeat the fourth record exactly.
Cd2InGaHg5: optimized geometry, PBE.

Total DFT energy (no corrections) ... -0.97 eV/atom
Formation energy from the elements ... 0.039 eV/atom
Calculated volume ... 25.4 Å³ per atom

abc: 8.721 8.721 12.873
angles: 90.00 90.00 152.19
Atoms (fractional coordinates):
Cd: 0.099 0.901 0.500
Cd: 0.106 0.894 0.832
Cd: 0.894 0.106 0.332
Cd: 0.901 0.099 0.000
In: 0.427 0.573 0.508
In: 0.573 0.427 0.008
Ga: 0.219 0.781 0.022
Ga: 0.781 0.219 0.522
Hg: 0.028 0.972 0.170
Hg: 0.242 0.758 0.365
Hg: 0.296 0.704 0.690
Hg: 0.360 0.640 0.163
Hg: 0.441 0.559 0.840
Hg: 0.559 0.441 0.340
Hg: 0.640 0.360 0.663
Hg: 0.704 0.296 0.190
Hg: 0.758 0.242 0.865
Hg: 0.972 0.028 0.670

---

Q: Which formula does entry 3 have?
A: Sc4FeAg

---

Q: The lowest calculated volume belongs to which entry?
A: Sc4FeAg

---

Q: Number 2 is which compound?
A: PuPb3